Computed, not measured: a relaxed structure of Cu7Ag3 at the GGA-PBE level of DFT.

E_form = 0.088 eV per atom
Crystal system = orthorhombic
Space-group type = Cmmm

a b c (Å): 9.6598 9.6598 3.7827
angles (deg): 90.00 90.00 157.19
Closest atoms and distances in Å follow each position.
Atoms (fractional coordinates):
Ag 0.5000 0.5000 0.0000  12 Cu 2.66-2.69
Ag 0.8035 0.1965 0.5000  10 Cu 2.66-2.79, 2 Ag 2.78
Ag 0.1965 0.8035 0.5000  10 Cu 2.66-2.79, 2 Ag 2.78
Cu 0.9021 0.0979 0.0000  8 Cu 2.65-2.69, 4 Ag 2.66
Cu 0.6951 0.3049 0.0000  6 Cu 2.63-2.82, 6 Ag 2.69-2.79
Cu 0.3049 0.6951 0.0000  6 Cu 2.63-2.82, 6 Ag 2.69-2.79
Cu 0.0979 0.9021 0.0000  8 Cu 2.65-2.69, 4 Ag 2.66
Cu 0.0000 0.0000 0.5000  8 Cu 2.65-2.67, 4 Ag 2.69
Cu 0.5984 0.4016 0.5000  8 Cu 2.63-2.69, 4 Ag 2.66-2.67
Cu 0.4016 0.5984 0.5000  8 Cu 2.63-2.69, 4 Ag 2.66-2.67